1.
{"formula": "Pm9In2Pb", "functional": "GGA-PBE", "state": "optimized geometry", "cell": [[4.961, 0.000, 0.000], [0.000, 4.961, 0.000], [0.000, 0.000, 14.880]], "species": ["Pm", "Pm", "Pm", "Pm", "Pm", "Pm", "Pm", "Pm", "Pm", "In", "In", "Pb"], "fractional_positions": [[0.500, 0.500, 0.000], [0.500, 0.500, 0.334], [0.500, 0.500, 0.666], [0.500, 0.000, 0.168], [0.500, 0.000, 0.500], [0.500, 0.000, 0.832], [0.000, 0.500, 0.168], [0.000, 0.500, 0.500], [0.000, 0.500, 0.832], [0.000, 0.000, 0.334], [0.000, 0.000, 0.666], [0.000, 0.000, 0.000]], "formation_energy_ev_per_atom": -0.2962}



2.
{"formula": "LaSi2Pt", "functional": "GGA-PBE", "state": "optimized geometry", "cell": [[-5.532, 0.598, 2.414], [-1.678, -1.950, 5.493], [4.252, 3.177, -2.936]], "species": ["La", "Pt", "Si", "Si"], "fractional_positions": [[0.538, 0.538, 0.000], [0.284, 0.784, 0.500], [0.910, 0.910, 0.000], [0.768, 0.268, 0.500]], "e_form_raw_ev_per_fu": -2.50}



3.
{"formula": "LiErZrRe", "functional": "GGA-PBE", "state": "optimized geometry", "cell": [[-4.151, -2.287, 0.584], [-0.881, -4.010, -2.438], [-0.114, -4.199, 2.271]], "species": ["Re", "Li", "Zr", "Er"], "fractional_positions": [[0.500, 0.500, 0.500], [0.000, 0.000, 0.000], [0.250, 0.250, 0.250], [0.750, 0.750, 0.750]], "formation_energy_ev_per_atom": -0.0524}



E values (in eV/cell) by entry order: -55.50; -24.31; -27.68.